# 1
## KUZnSe4 (PBE-GGA)

Data for a relaxed KUZnSe4 crystal.

The calculated total energy comes out at -68.6 eV/cell. As for the volume: 398.2 Å³ per cell. As for the density: 5.49 g cm⁻³.

The structure belongs to space group P2_1/m (No. 11); the cell edges are 6.619, 6.898 and 9.265 Å and the angles 90.00°, 109.73° and 90.00°. The distinct sites, in fractional coordinates, are K at (0.239, 0.250, 0.045), U at (0.228, 0.250, 0.554), Zn at (0.232, 0.750, 0.339), Se at (0.032, 0.516, 0.702), Se at (0.437, 0.750, 0.168) and Se at (0.484, 0.750, 0.598).



# 2
## K3U2ZnSe6 (PBE-GGA)

Data for a relaxed K3U2ZnSe6 crystal.

The calculated total energy comes out at -122.5 eV/cell. As for the volume: 696.2 Å³ per cell. As for the density: 5.40 g cm⁻³.

The structure belongs to space group C2/m (No. 12); the cell edges are 7.237, 12.542 and 8.038 Å and the angles 90.00°, 107.42° and 90.00°. The distinct sites, in fractional coordinates, are K at (0.000, 0.000, 0.000), K at (0.000, 0.334, 0.000), U at (0.000, 0.167, 0.500), Zn at (0.000, 0.500, 0.500), Se at (0.230, 0.337, 0.701) and Se at (0.242, 0.000, 0.700).



# 3
## K2U2ZnSe6 (PBE-GGA)

Data for a relaxed K2U2ZnSe6 crystal.

The calculated total energy comes out at -117.7 eV/cell. As for the volume: 699.0 Å³ per cell. As for the density: 5.19 g cm⁻³.

The structure belongs to space group C2/m (No. 12); the cell edges are 6.960, 12.731 and 8.211 Å and the angles 90.00°, 106.09° and 90.00°. The distinct sites, in fractional coordinates, are K at (0.000, 0.159, 0.000), U at (0.000, 0.333, 0.500), Zn at (0.000, 0.000, 0.500), Se at (0.238, 0.176, 0.703) and Se at (0.239, 0.000, 0.322).



Look up the density of the third one. 5.19 g cm⁻³



Copy entry 2 word for word.
## K3U2ZnSe6 (PBE-GGA)

Data for a relaxed K3U2ZnSe6 crystal.

The calculated total energy comes out at -122.5 eV/cell. As for the volume: 696.2 Å³ per cell. As for the density: 5.40 g cm⁻³.

The structure belongs to space group C2/m (No. 12); the cell edges are 7.237, 12.542 and 8.038 Å and the angles 90.00°, 107.42° and 90.00°. The distinct sites, in fractional coordinates, are K at (0.000, 0.000, 0.000), K at (0.000, 0.334, 0.000), U at (0.000, 0.167, 0.500), Zn at (0.000, 0.500, 0.500), Se at (0.230, 0.337, 0.701) and Se at (0.242, 0.000, 0.700).